[1]
DFT (PBE) results for a relaxed AcDyS2 crystal.

For the polymorph energy (0 for the lowest one), the calculation gives 0 meV per atom. The calculation puts the calculated volume at 293.55 Å³/cell. The raw formation energy is -1990 meV/atom. The density of states at the Fermi level comes out at 1.398 states/eV/f.u.

It has space group R-3m (No. 166, hexagonal axes), with a = 4.0244 Å, b = 4.0244 Å, c = 20.9289 Å, α = 90.00°, β = 90.00° and γ = 120.00°. The inequivalent atoms are Ac at (0.0000, 0.0000, 0.0000), Dy at (0.0000, 0.0000, 0.5000) and S at (0.0000, 0.0000, 0.2391).

[2]
DFT (PBE) results for a relaxed AcDyS crystal.

For the polymorph energy (0 for the lowest one), the calculation gives 0 meV per atom. The calculation puts the calculated volume at 93.64 Å³/cell. The raw formation energy is -1172 meV/atom. The density of states at the Fermi level comes out at 1.402 states/eV/f.u.

It has space group P3m1 (No. 156), with a = 3.9809 Å, b = 3.9809 Å, c = 6.8231 Å, α = 90.00°, β = 90.00° and γ = 120.00°. The inequivalent atoms are Ac at (0.0000, 0.0000, 0.0000), Dy at (0.6667, 0.3333, 0.4880) and S at (0.3333, 0.6667, 0.7094).

[3]
DFT (PBE) results for a relaxed AcDy2S5 crystal.

The calculation puts the calculated volume at 717.16 Å³/cell. The raw formation energy is -1881 meV/atom. The density of states at the Fermi level comes out at 6.211 states/eV/f.u.

It has space group I4/mcm (No. 140), with a = 7.446 Å, b = 7.446 Å, c = 12.936 Å, α = 90.00°, β = 90.00° and γ = 90.00°. The inequivalent atoms are Ac at (0.000, 0.000, 0.250), Dy at (0.158, 0.342, 0.000), S at (0.000, 0.000, 0.000) and S at (0.151, 0.349, 0.361).

[4]
DFT (PBE) results for a relaxed AcDy4S8 crystal.

The calculation puts the calculated volume at 1147.44 Å³/cell. The raw formation energy is -1905 meV/atom. The density of states at the Fermi level comes out at 10.653 states/eV/f.u.

It has space group R-3m (No. 166, hexagonal axes), with a = 7.9190 Å, b = 7.9190 Å, c = 21.1278 Å, α = 90.00°, β = 90.00° and γ = 120.00°. The inequivalent atoms are Ac at (0.0000, 0.0000, 0.0000), Dy at (0.0000, 0.0000, 0.5000), Dy at (0.0000, 0.5000, 0.5000), S at (0.0000, 0.0000, 0.2356) and S at (0.0027, 0.5013, 0.7608).